## BeCuBr (PBE)

Data for crystalline BeCuBr at its relaxed geometry.

DFT total energy in eV per atom: -2.459
Spin magnetization in Bohr magnetons per cell: 0.0
Energy relative to the elements, uncorrected in eV/atom: 0.706

a b c (Å): 5.925 5.925 5.925
angles (deg): 90.00 90.00 90.00
Space group F-43m (No. 216)
Unique sites:
Be: 0.000 0.000 0.000 x4
Cu: 0.250 0.250 0.750 x4
Br: 0.250 0.250 0.250 x4